Entry from Alexandria: a geometry-optimized Cs10Rb6Ag structure (PBE).

Geometry as POSCAR:
```
Cs10Rb6Ag
1.0
-3.164 -7.917 4.457
12.813 -1.675 6.120
-10.096 7.721 6.548
Rb Cs Ag
6 10 1
direct
0.755 0.406 0.406
0.755 0.594 0.000
0.245 0.594 0.594
0.245 0.000 0.406
0.245 0.406 0.000
0.755 0.000 0.594
0.266 0.778 0.000
0.266 0.000 0.778
0.734 0.000 0.222
0.266 0.222 0.222
0.500 0.333 0.667
0.000 0.333 0.667
0.734 0.222 0.000
0.000 0.667 0.333
0.500 0.667 0.333
0.734 0.778 0.778
0.500 0.000 0.000
```

Properties
Total DFT energy (no corrections) = -16.75 eV/cell
SG = P-31m (162)
Magnetic moment = 0.000 μB/f.u.
Density of states at the Fermi level = 0.9416 states/eV/atom